Computed, not measured: a geometry-optimized VHgPd2 structure at the PBE-GGA level of DFT.

```
VHgPd2
1.0
-1.268 -2.409 2.806
3.896 -0.990 0.912
0.149 3.092 2.722
Pd V Hg
2 1 1
direct
0.000 0.000 0.500
0.000 0.500 0.000
0.500 0.500 0.500
0.500 0.000 0.000
```

Properties
volume: 66 Å³ per cell
energy relative to the elements: -11.3 meV/atom

=====

Computed, not measured: a geometry-optimized Hg2B2As structure at the PBE-GGA level of DFT.

```
Hg2B2As
1.0
-0.495 -2.445 5.140
5.010 -2.637 -0.772
2.385 3.918 2.094
B Hg As
4 4 2
direct
0.606 0.894 0.000
0.394 0.106 0.000
0.894 0.394 0.000
0.106 0.606 0.000
0.822 0.322 0.500
0.178 0.678 0.500
0.322 0.178 0.500
0.678 0.822 0.500
0.000 0.000 0.000
0.500 0.500 0.000
```

Properties
volume: 165 Å³ per cell
energy relative to the lowest polymorph listed for this composition: 0.000 eV/atom
energy relative to the elements: 811.3 meV/atom

=====

Computed, not measured: a geometry-optimized CdSnHgAs structure at the PBE-GGA level of DFT.

```
CdSnHgAs
1.0
-3.665 -1.206 -3.413
0.101 -4.566 -2.382
-3.514 -3.585 1.154
Hg Sn As Cd
1 1 1 1
direct
0.000 0.000 0.000
0.250 0.250 0.250
0.500 0.500 0.500
0.750 0.750 0.750
```

Properties
volume: 97 Å³ per cell
energy relative to the elements: 131.5 meV/atom

=====

Computed, not measured: a geometry-optimized Ba3BeSe structure at the PBE-GGA level of DFT.

```
Ba3BeSe
1.0
-2.830 -5.318 -1.672
4.661 -3.286 2.561
-3.057 -0.087 5.452
Ba Se Be
3 1 1
direct
0.500 0.000 0.000
0.000 0.000 0.500
0.000 0.500 0.000
0.000 0.000 0.000
0.500 0.500 0.500
```

Properties
volume: 244 Å³ per cell
energy relative to the lowest polymorph listed for this composition: 0.000 eV/atom

=====

Computed, not measured: a geometry-optimized BaHfWN4 structure at the PBE-GGA level of DFT.

```
BaHfWN4
1.0
5.779 0.000 -0.037
0.000 5.928 0.000
-2.318 0.000 7.078
N Hf W Ba
8 2 2 2
direct
0.509 0.750 0.579
0.956 0.012 0.673
0.956 0.488 0.673
0.491 0.250 0.421
0.480 0.750 0.195
0.044 0.512 0.327
0.520 0.250 0.805
0.044 0.988 0.327
0.178 0.250 0.533
0.822 0.750 0.467
0.277 0.750 0.349
0.723 0.250 0.651
0.723 0.750 0.940
0.277 0.250 0.060
```

Properties
volume: 242 Å³ per cell
calculated total energy: -129.52 eV per cell

=====

Computed, not measured: a geometry-optimized Eu2SnAu structure at the PBE-GGA level of DFT.

```
Eu2SnAu
1.0
3.705 0.000 0.000
0.000 3.705 0.000
0.000 0.000 8.191
Au Sn Eu
1 1 2
direct
0.500 0.500 0.000
0.500 0.500 0.500
0.000 0.000 0.768
0.000 0.000 0.232
```

Properties
volume: 112 Å³ per cell
energy relative to the elements: -739.0 meV/atom

=====

Computed, not measured: a geometry-optimized Cd2InTc structure at the PBE-GGA level of DFT.

```
Cd2InTc
1.0
-1.148 2.568 0.976
-2.844 0.027 -3.420
-3.941 -2.998 3.253
Cd In Tc
2 1 1
direct
0.000 0.000 0.519
0.000 0.000 0.981
0.500 0.500 0.250
0.500 0.500 0.750
```

Properties
volume: 78 Å³ per cell
energy relative to the elements: 401.1 meV/atom

=====

Computed, not measured: a geometry-optimized Pr2SmO structure at the PBE-GGA level of DFT.

```
Pr2SmO
1.0
3.706 0.000 0.000
1.853 3.209 0.000
1.853 1.070 9.097
Pr O Sm
2 1 1
direct
0.281 0.281 0.157
0.719 0.719 0.843
0.000 0.000 0.000
0.500 0.500 0.500
```

Properties
volume: 108 Å³ per cell
energy relative to the lowest polymorph listed for this composition: 0.000 eV/atom

=====

Values for density, g/cm³, ordered as above
11.61 10.04 8.70 3.40 7.63 9.15 9.26 6.88
Values for density of states at the Fermi level, states/eV per cell, ordered as above
5.6 4.0 2.2 13.0 0.0 16.8 3.1 5.1